[1]
This record from the Alexandria database describes Pm3NpAg3Se8 after structural relaxation. The functional is PBE-GGA.

Structure (POSCAR):
```
Pm3NpAg3Se8
1.0
6.818 -4.274 0.000
6.818 4.274 0.000
-4.161 0.000 6.907
Pm Np Ag Se
3 1 3 8
Cartesian
0.000 0.000 0.000
1.328 2.137 3.454
1.328 -2.137 3.454
6.818 0.000 0.000
3.409 2.137 0.000
3.409 -2.137 0.000
4.737 0.000 3.454
2.394 0.000 1.722
0.340 0.000 5.231
5.791 2.076 1.678
3.684 2.076 5.229
5.791 -2.076 1.678
3.684 -2.076 5.229
9.134 0.000 1.676
7.080 0.000 5.185
```

***

[2]
This record from the Alexandria database describes Cs4Tm3NpSe8 after structural relaxation. The functional is PBE-GGA.

Structure (POSCAR):
```
Cs4Tm3NpSe8
1.0
4.254 2.456 8.365
-4.254 2.456 8.365
0.000 -4.912 8.365
Cs Tm Np Se
4 3 1 8
Cartesian
0.000 0.000 0.000
-2.127 -1.228 8.365
-2.127 1.228 16.731
0.000 2.456 8.365
-4.254 0.000 12.548
-2.127 1.228 4.183
2.127 1.228 4.183
0.000 0.000 12.548
-2.169 -1.252 14.089
0.000 0.000 5.714
0.000 -2.504 11.007
-2.169 1.252 11.007
2.169 -1.252 14.089
0.000 2.504 14.089
0.000 0.000 19.382
2.169 1.252 11.007
```

***

| no. | density of states at the Fermi level (states/eV/f.u.) | calculated total energy (eV/atom) | E_form (uncorrected) (eV/f.u.) |
| --- | --- | --- | --- |
| 1 | 6.13 | -5.3759 | -17.0 |
| 2 | 9.05 | -5.1808 | -25.2 |